[1]
Ac8Bi4Te3S: optimized geometry, GGA-PBE.

Calculated density, g/cm3: 8.33
Symmetry: No. 166
Total energy, eV per atom: -5.17

The structure in CIF format:
```
data_Ac8Bi4Te3S
_space_group_name_H-M_alt 'P 1'
_space_group_IT_number 1
_cell_length_a 9.481
_cell_length_b 9.481
_cell_length_c 9.481
_cell_angle_alpha 60.62
_cell_angle_beta 60.62
_cell_angle_gamma 60.62
loop_
_space_group_symop_operation_xyz
'x,y,z'
loop_
_atom_site_label
_atom_site_fract_x
_atom_site_fract_y
_atom_site_fract_z
Ac1 0.250 0.250 0.250
Ac2 0.259 0.259 0.741
Ac3 0.259 0.741 0.259
Ac4 0.259 0.741 0.741
Ac5 0.741 0.259 0.259
Ac6 0.741 0.259 0.741
Ac7 0.741 0.741 0.259
Ac8 0.750 0.750 0.750
Bi1 0.000 0.000 0.000
Bi2 0.000 0.500 0.500
Bi3 0.500 0.000 0.500
Bi4 0.500 0.500 0.000
Te1 0.000 0.000 0.500
Te2 0.000 0.500 0.000
Te3 0.500 0.000 0.000
S1 0.500 0.500 0.500
```

---

[2]
CrCdIn2: optimized geometry, GGA-PBE.

Calculated density, g/cm3: 7.83
Symmetry: No. 123
DFT formation energy, eV/atom: 0.264

The structure in CIF format:
```
data_CrCdIn2
_space_group_name_H-M_alt 'P 1'
_space_group_IT_number 1
_cell_length_a 4.426
_cell_length_b 4.426
_cell_length_c 4.267
_cell_angle_alpha 90.00
_cell_angle_beta 90.00
_cell_angle_gamma 90.00
loop_
_space_group_symop_operation_xyz
'x,y,z'
loop_
_atom_site_label
_atom_site_fract_x
_atom_site_fract_y
_atom_site_fract_z
Cr1 0.000 0.000 0.000
Cd1 0.500 0.500 0.000
In1 0.000 0.500 0.500
In2 0.500 0.000 0.500
```

---

[3]
TiMnReMo: optimized geometry, GGA-PBE.

Calculated density, g/cm3: 11.13
Symmetry: No. 216
DFT formation energy, eV/atom: -0.219

The structure in CIF format:
```
data_TiMnReMo
_space_group_name_H-M_alt 'P 1'
_space_group_IT_number 1
_cell_length_a 6.125
_cell_length_b 6.125
_cell_length_c 6.125
_cell_angle_alpha 90.00
_cell_angle_beta 90.00
_cell_angle_gamma 90.00
loop_
_space_group_symop_operation_xyz
'x,y,z'
loop_
_atom_site_label
_atom_site_fract_x
_atom_site_fract_y
_atom_site_fract_z
Ti1 0.000 0.000 0.000
Ti2 0.000 0.500 0.500
Ti3 0.500 0.000 0.500
Ti4 0.500 0.500 0.000
Mn1 0.250 0.250 0.250
Mn2 0.250 0.750 0.750
Mn3 0.750 0.250 0.750
Mn4 0.750 0.750 0.250
Re1 0.250 0.250 0.750
Re2 0.250 0.750 0.250
Re3 0.750 0.250 0.250
Re4 0.750 0.750 0.750
Mo1 0.000 0.000 0.500
Mo2 0.000 0.500 0.000
Mo3 0.500 0.000 0.000
Mo4 0.500 0.500 0.500
```

---

[4]
NaAc2Si3Pt4: optimized geometry, GGA-PBE.

Calculated density, g/cm3: 11.09
Symmetry: No. 115
Total energy, eV per atom: -5.90

The structure in CIF format:
```
data_NaAc2Si3Pt4
_space_group_name_H-M_alt 'P 1'
_space_group_IT_number 1
_cell_length_a 4.401
_cell_length_b 4.401
_cell_length_c 10.370
_cell_angle_alpha 90.00
_cell_angle_beta 90.00
_cell_angle_gamma 90.00
loop_
_space_group_symop_operation_xyz
'x,y,z'
loop_
_atom_site_label
_atom_site_fract_x
_atom_site_fract_y
_atom_site_fract_z
Na1 0.000 0.000 0.000
Ac1 0.000 0.500 0.749
Ac2 0.500 0.000 0.251
Si1 0.000 0.500 0.381
Si2 0.500 0.000 0.619
Si3 0.500 0.500 0.000
Pt1 0.000 0.000 0.500
Pt2 0.000 0.500 0.147
Pt3 0.500 0.000 0.853
Pt4 0.500 0.500 0.500
```

---

[5]
SrAl7Zn12: optimized geometry, GGA-PBE.

Calculated density, g/cm3: 5.02
Symmetry: No. 166
DFT formation energy, eV/atom: 0.029

The structure in CIF format:
```
data_SrAl7Zn12
_space_group_name_H-M_alt 'P 1'
_space_group_IT_number 1
_cell_length_a 8.116
_cell_length_b 8.116
_cell_length_c 8.116
_cell_angle_alpha 112.84
_cell_angle_beta 112.84
_cell_angle_gamma 112.84
loop_
_space_group_symop_operation_xyz
'x,y,z'
loop_
_atom_site_label
_atom_site_fract_x
_atom_site_fract_y
_atom_site_fract_z
Sr1 0.000 0.000 0.000
Al1 0.201 0.201 0.547
Al2 0.201 0.547 0.201
Al3 0.453 0.799 0.799
Al4 0.500 0.500 0.500
Al5 0.547 0.201 0.201
Al6 0.799 0.453 0.799
Al7 0.799 0.799 0.453
Zn1 0.000 0.257 0.743
Zn2 0.000 0.743 0.257
Zn3 0.061 0.400 0.400
Zn4 0.257 0.000 0.743
Zn5 0.257 0.743 0.000
Zn6 0.400 0.061 0.400
Zn7 0.400 0.400 0.061
Zn8 0.600 0.600 0.939
Zn9 0.600 0.939 0.600
Zn10 0.743 0.000 0.257
Zn11 0.743 0.257 0.000
Zn12 0.939 0.600 0.600
```

---

[6]
Na3Cd2Se2Br3: optimized geometry, GGA-PBE.

Calculated density, g/cm3: 3.84
Symmetry: No. 139
Total energy, eV per atom: -2.86

The structure in CIF format:
```
data_Na3Cd2Se2Br3
_space_group_name_H-M_alt 'P 1'
_space_group_IT_number 1
_cell_length_a 15.766
_cell_length_b 15.766
_cell_length_c 15.766
_cell_angle_alpha 163.97
_cell_angle_beta 163.97
_cell_angle_gamma 22.74
loop_
_space_group_symop_operation_xyz
'x,y,z'
loop_
_atom_site_label
_atom_site_fract_x
_atom_site_fract_y
_atom_site_fract_z
Na1 0.000 0.000 0.000
Na2 0.407 0.407 0.000
Na3 0.593 0.593 0.000
Cd1 0.250 0.750 0.500
Cd2 0.750 0.250 0.500
Se1 0.302 0.302 0.000
Se2 0.698 0.698 0.000
Br1 0.098 0.098 0.000
Br2 0.500 0.500 0.000
Br3 0.902 0.902 0.000
```